{
  "formula": "Li4Sb",
  "functional": "SCAN",
  "state": "PBEsol geometry",
  "spacegroup": "I4/m",
  "magnetic_moment_mub_per_fu": 0.03,
  "e_form_raw_ev_per_atom": -0.460,
  "lattice_angstrom": [[6.325, 0.000, 0.000], [0.000, 6.325, 0.000], [0.000, 0.000, 4.384]],
  "species": ["Li", "Li", "Li", "Li", "Li", "Li", "Li", "Li", "Sb", "Sb"],
  "fractional_positions": [[0.111, 0.289, 0.000], [0.211, 0.611, 0.500], [0.289, 0.889, 0.000], [0.389, 0.211, 0.500], [0.611, 0.789, 0.500], [0.711, 0.111, 0.000], [0.789, 0.389, 0.500], [0.889, 0.711, 0.000], [0.000, 0.000, 0.500], [0.500, 0.500, 0.000]]
}